Record 1
VASP calculation (PBE) on an optimized crystal structure of PmAl6Co.

POSCAR file:
```
PmAl6Co
1.0
3.160 1.825 4.509
-3.160 1.825 4.509
0.000 -3.649 4.509
Pm Al Co
1 6 1
direct
0.000 0.000 0.000
0.045 0.622 0.622
0.378 0.378 0.955
0.378 0.955 0.378
0.622 0.045 0.622
0.622 0.622 0.045
0.955 0.378 0.378
0.500 0.500 0.500
```

As for the total magnetization: 0.0 μB per cell. The total DFT energy (no corrections) is -35.08 eV/cell. The formation energy comes out at -0.096 eV per atom.


Record 2
VASP calculation (PBE) on an optimized crystal structure of Pm2Al4CoPt3.

POSCAR file:
```
Pm2Al4CoPt3
1.0
4.214 0.000 0.000
0.000 4.214 0.000
0.000 0.000 10.440
Pm Al Co Pt
2 4 1 3
direct
0.000 0.500 0.243
0.500 0.000 0.757
0.000 0.000 0.500
0.000 0.500 0.878
0.500 0.000 0.122
0.500 0.500 0.500
0.500 0.500 0.000
0.000 0.000 0.000
0.000 0.500 0.637
0.500 0.000 0.363
```

As for the total magnetization: 0.0 μB per cell. The total DFT energy (no corrections) is -59.33 eV/cell. The formation energy comes out at -0.963 eV per atom.